# 1
Entry from Alexandria via LeMat-Bulk: a relaxed AgPdSe crystal (PBE).

SG: F-43m
Formation energy from raw total energies in eV/atom: 0.002
Energy in eV for the cell shown: -11.52

The structure in POSCAR format:
```
AgPdSe
1.0
-0.046 1.476 -4.155
2.930 -1.533 -2.917
-1.321 -2.651 -3.267
Ag Se Pd
1 1 1
Direct
0.500 0.500 0.500
0.000 0.000 0.000
0.250 0.250 0.250
```


# 2
Entry from Alexandria via LeMat-Bulk: a relaxed AgPdSe2 crystal (PBE).

SG: Pna2_1
Formation energy from raw total energies in eV/atom: -0.030
Energy in eV for the cell shown: -60.53

The structure in POSCAR format:
```
AgPdSe2
1.0
-0.003 -2.761 -4.835
6.879 -1.886 1.072
-2.590 -7.130 4.074
Ag Pd Se
4 4 8
Direct
0.976 0.956 0.071
0.476 0.544 0.571
0.476 0.044 0.929
0.976 0.456 0.429
0.996 0.564 0.935
0.496 0.436 0.065
0.496 0.936 0.435
0.996 0.064 0.565
0.866 0.849 0.794
0.415 0.169 0.641
0.366 0.651 0.294
0.415 0.669 0.859
0.915 0.831 0.359
0.366 0.151 0.206
0.915 0.331 0.141
0.866 0.349 0.706
```


# 3
Entry from Alexandria via LeMat-Bulk: a relaxed AgPd2Se crystal (PBE).

SG: I-42d
Formation energy from raw total energies in eV/atom: 0.092
Energy in eV for the cell shown: -32.71

The structure in POSCAR format:
```
AgPd2Se
1.0
4.006 0.000 0.000
0.000 4.006 0.000
2.003 2.003 9.124
Pd Ag Se
4 2 2
Direct
0.375 0.395 0.750
0.605 0.125 0.250
0.145 0.625 0.250
0.875 0.855 0.750
0.000 0.000 0.000
0.750 0.250 0.500
0.500 0.500 0.000
0.250 0.750 0.500
```


The lowest formation energy from raw total energies belongs to which entry?
AgPdSe2